The following is a DFT calculation (GGA-PBEsol) of TeMoBr4 after structural relaxation.

## Properties
* crystal system: cubic
* V: 25.41 Å³/atom
* raw total energy: -15.98 eV per cell
* SG: F-43m, No. 216
* formation energy (no corrections): 1.133 eV/atom

Unit cell a=5.997 b=5.997 c=5.997 alpha=60.00 beta=60.00 gamma=60.00
Atoms (fractional coordinates):
Br 0.873 0.376 0.376
Br 0.376 0.376 0.873
Br 0.376 0.873 0.376
Br 0.376 0.376 0.376
Mo 0.750 0.750 0.750
Te 0.000 0.000 0.000